A plane-wave DFT calculation with GGA-PBE was carried out for a relaxed structure of Tc3Ir12Os5.

Lattice parameters (Å, degrees): 12.516 12.516 12.516 109.47 109.47 109.47
Fractional positions:
Os  0.500  0.500  0.000
Ir  0.331  0.770  0.407
Os  0.750  0.125  0.875
Os  0.500  0.500  0.500
Ir  0.561  0.331  0.924
Tc  0.625  0.375  0.750
Ir  0.137  0.407  0.076
Ir  0.061  0.637  0.730
Ir  0.424  0.363  0.593
Os  0.625  0.875  0.250
Tc  0.375  0.750  0.625
Ir  0.770  0.439  0.363
Ir  0.230  0.561  0.637
Os  0.000  0.500  0.500
Ir  0.669  0.230  0.593
Os  0.000  0.000  0.500
Ir  0.863  0.593  0.924
Os  0.500  0.000  0.500
Ir  0.637  0.061  0.230
Ir  0.407  0.270  0.331
Ir  0.363  0.939  0.770
Ir  0.576  0.637  0.407
Tc  0.875  0.125  0.250
Ir  0.831  0.907  0.270
Ir  0.770  0.331  0.907
Os  0.375  0.250  0.125
Ir  0.593  0.863  0.424
Ir  0.939  0.363  0.270
Ir  0.439  0.770  0.863
Os  0.625  0.750  0.875
Ir  0.593  0.730  0.669
Ir  0.230  0.669  0.093
Ir  0.093  0.169  0.230
Ir  0.561  0.230  0.137
Ir  0.439  0.669  0.076
Ir  0.907  0.076  0.637
Tc  0.250  0.625  0.875
Ir  0.576  0.939  0.669
Ir  0.331  0.561  0.424
Tc  0.875  0.750  0.125
Ir  0.076  0.169  0.439
Ir  0.730  0.137  0.061
Ir  0.061  0.424  0.831
Os  0.125  0.750  0.375
Tc  0.125  0.875  0.750
Os  0.125  0.375  0.250
Ir  0.637  0.576  0.907
Ir  0.831  0.924  0.061
Tc  0.375  0.625  0.250
Ir  0.939  0.576  0.169
Ir  0.924  0.093  0.863
Tc  0.750  0.375  0.125
Os  0.000  0.000  0.000
Ir  0.669  0.439  0.576
Ir  0.407  0.137  0.576
Ir  0.924  0.831  0.561
Ir  0.093  0.924  0.363
Os  0.000  0.500  0.000
Ir  0.169  0.076  0.939
Os  0.250  0.375  0.625
Ir  0.270  0.863  0.939
Os  0.500  0.000  0.000
Tc  0.625  0.250  0.375
Ir  0.863  0.270  0.439
Os  0.250  0.875  0.125
Ir  0.907  0.831  0.770
Tc  0.125  0.250  0.875
Os  0.375  0.125  0.750
Tc  0.250  0.125  0.375
Ir  0.076  0.907  0.137
Ir  0.169  0.093  0.730
Ir  0.730  0.593  0.169
Ir  0.137  0.730  0.561
Ir  0.270  0.407  0.831
Ir  0.363  0.424  0.093
Tc  0.750  0.875  0.625
Os  0.875  0.625  0.750
Ir  0.424  0.061  0.331
Os  0.875  0.250  0.625
Os  0.750  0.625  0.375

## Properties
Electronic total energy in Ry/atom: -0.64681
Total magnetic moment in μB per formula unit: 0.0
Energy of formation in eV per atom: 0.879
Fermi-level density of states in states/eV/f.u.: 18.307